Compound: CaZrZnAu
Source: Alexandria via LeMat-Bulk
Functional: PBE
Structure: optimized geometry

abc: 4.9468 4.9468 4.9468
angles: 60.00 60.00 60.00
Sites, in units of the cell vectors:
Ca 0.0000 0.0000 0.0000
Zr 0.5000 0.5000 0.5000
Zn 0.7500 0.7500 0.7500
Au 0.2500 0.2500 0.2500

- Fermi-level density of states (states/eV/atom) = 0.691
- raw total energy (eV/cell) = -16.3
- mass density (g/cm3) = 7.637
- magnetization (μB per formula unit) = 0.00



Compound: Ca2ZrAu
Source: Alexandria via LeMat-Bulk
Functional: PBE
Structure: optimized geometry

abc: 3.5457 3.5457 9.2419
angles: 90.00 90.00 90.00
Sites, in units of the cell vectors:
Ca 0.0000 0.0000 0.0000
Ca 0.5000 0.5000 0.3513
Zr 0.0000 0.0000 0.6236
Au 0.5000 0.5000 0.7773

- Fermi-level density of states (states/eV/atom) = 0.851
- raw total energy (eV/cell) = -16.6
- mass density (g/cm3) = 5.264
- magnetization (μB per formula unit) = 0.86
- offset from the most stable computed form (eV per atom) = 0.000



Compound: CaZrAu3
Source: Alexandria via LeMat-Bulk
Functional: PBE
Structure: optimized geometry

abc: 5.2443 5.2443 5.2443
angles: 90.00 90.00 90.00
Sites, in units of the cell vectors:
Ca 0.0000 0.0000 0.0000
Zr 0.5000 0.5000 0.5000
Au 0.0000 0.5000 0.5000
Au 0.5000 0.0000 0.5000
Au 0.5000 0.5000 0.0000

- Fermi-level density of states (states/eV/atom) = 0.866
- raw total energy (eV/cell) = -20.4
- mass density (g/cm3) = 8.315
- magnetization (μB per formula unit) = 0.00
- offset from the most stable computed form (eV per atom) = 0.000